! CoBiBrO2 (GGA+U, relaxed); values from VASP
&SYSTEM
  ibrav = 0, nat = 10, ntyp = 4
/
ATOMIC_SPECIES
Co 58.93 Co.upf
Bi 208.98 Bi.upf
Br 79.90 Br.upf
O 16.00 O.upf
CELL_PARAMETERS angstrom
6.1908 0.0000 0.0000
0.0000 4.0593 0.0000
-0.7580 0.0000 7.4485
ATOMIC_POSITIONS angstrom
Co 0.2727 1.0148 2.8440
Co 5.1601 3.0445 4.6045
Bi 0.5742 1.0148 6.6632
Bi 4.8586 3.0445 0.7852
Br 2.7306 1.0148 2.1614
Br 2.7022 3.0445 5.2871
O -0.4154 1.0148 4.7181
O -0.4537 3.0445 6.6311
O 5.8865 1.0148 0.8173
O 5.8483 3.0445 2.7303
! Raw total energy: -5.165 eV/atom